Here is an optimized crystal structure of RbSm2Ag2Se4 from Alexandria. Energies are from GGA-PBE.

The density of states at the Fermi level is 0.4128 states/eV per atom. For the total energy, the calculation gives -79.70 eV/cell. The value obtained for the volume is 234.6 Å³/f.u. The value obtained for the magnetization is 0.0 μB/f.u.

The space group is C2/m (No. 12) and the conventional cell measures 15.637, 3.957 and 8.443 Å, with angles of 90.00, 116.08 and 90.00 degrees. The inequivalent atoms are Rb at (0.000, 0.000, 0.000), Sm at (0.127, 0.000, 0.557), Ag at (0.197, 0.500, 0.038), Se at (0.035, 0.500, 0.712) and Se at (0.219, 0.000, 0.298).